{"formula": "InAsN2O", "functional": "GGA-PBEsol", "state": "optimized geometry", "lattice_angstrom": [[3.830, 0.000, 0.000], [0.000, 3.830, 0.000], [0.000, 0.000, 3.661]], "species": ["In", "As", "N", "N", "O"], "frac_coords": [[0.000, 0.000, 0.000], [0.500, 0.500, 0.500], [0.000, 0.500, 0.500], [0.500, 0.000, 0.500], [0.500, 0.500, 0.000]], "spacegroup": "P4/mmm", "magnetic_moment_mub_per_cell": 0.00, "e_form_raw_ev_per_atom": 0.393}


{"formula": "CdAgSb2", "functional": "GGA-PBEsol", "state": "optimized geometry", "lattice_angstrom": [[3.258, -4.275, 0.000], [3.258, 4.275, 0.000], [-0.575, 0.000, 3.308]], "species": ["Cd", "Ag", "Sb", "Sb"], "frac_coords": [[0.000, 0.000, 0.000], [0.500, 0.500, 0.000], [0.000, 0.500, 0.500], [0.500, 0.000, 0.500]], "polymorph_energy_ev_per_fu": 0.064, "spacegroup": "C2/m", "magnetic_moment_mub_per_cell": 0.00, "e_form_raw_ev_per_atom": 0.169}